# 1
The following is a PBE-GGA calculation of an optimized crystal structure of Zr8AlSn2, from Alexandria via LeMat-Bulk. Values from VASP.

Cell and atoms, written as Quantum ESPRESSO input:
```
&SYSTEM
  ibrav = 0, nat = 11, ntyp = 3
/
ATOMIC_SPECIES
Zr 91.22 Zr.upf
Al 26.98 Al.upf
Sn 118.71 Sn.upf
CELL_PARAMETERS angstrom
3.8918 -6.8497 0.0000
3.8918 6.8497 0.0000
-2.3817 0.0000 4.7494
ATOMIC_POSITIONS crystal
Zr 0.0964 0.3151 0.6627
Zr 0.2125 0.7875 0.0000
Zr 0.3151 0.0964 0.6627
Zr 0.4025 0.4025 0.2094
Zr 0.5975 0.5975 0.7906
Zr 0.6849 0.9036 0.3373
Zr 0.7875 0.2125 0.0000
Zr 0.9036 0.6849 0.3373
Al 0.0000 0.0000 0.0000
Sn 0.3042 0.6958 0.5000
Sn 0.6958 0.3042 0.5000
```

Output
- DFT formation energy: -0.151 eV per atom
- Total magnetic moment: 0.00 μB/f.u.
- Symmetry: C2/m

---

# 2
The following is a PBE-GGA calculation of an optimized crystal structure of ZrAlSn, from Alexandria via LeMat-Bulk. Values from VASP.

Cell and atoms, written as Quantum ESPRESSO input:
```
&SYSTEM
  ibrav = 0, nat = 3, ntyp = 3
/
ATOMIC_SPECIES
Zr 91.22 Zr.upf
Al 26.98 Al.upf
Sn 118.71 Sn.upf
CELL_PARAMETERS angstrom
4.0834 0.0000 0.0000
0.0000 4.1434 0.0000
0.0000 0.0000 4.2257
ATOMIC_POSITIONS crystal
Zr 0.0000 0.0000 0.0000
Al 0.5000 0.5000 0.0000
Sn 0.0000 0.5000 0.5000
```

Output
- DFT formation energy: -0.144 eV per atom
- Total magnetic moment: 0.00 μB/f.u.
- Symmetry: Pmmm

---

# 3
The following is a PBE-GGA calculation of an optimized crystal structure of ZrAl2Sn, from Alexandria via LeMat-Bulk. Values from VASP.

Cell and atoms, written as Quantum ESPRESSO input:
```
&SYSTEM
  ibrav = 0, nat = 4, ntyp = 3
/
ATOMIC_SPECIES
Zr 91.22 Zr.upf
Al 26.98 Al.upf
Sn 118.71 Sn.upf
CELL_PARAMETERS angstrom
4.3305 0.0000 0.0000
0.0000 4.3305 0.0000
0.0000 0.0000 4.1503
ATOMIC_POSITIONS crystal
Zr 0.0000 0.0000 0.0000
Al 0.0000 0.5000 0.5000
Al 0.5000 0.0000 0.5000
Sn 0.5000 0.5000 0.0000
```

Output
- DFT formation energy: -0.258 eV per atom
- Total magnetic moment: 0.00 μB/f.u.
- Symmetry: P4/mmm

---

# 4
The following is a PBE-GGA calculation of an optimized crystal structure of Zr3AlSn2, from Alexandria via LeMat-Bulk. Values from VASP.

Cell and atoms, written as Quantum ESPRESSO input:
```
&SYSTEM
  ibrav = 0, nat = 24, ntyp = 3
/
ATOMIC_SPECIES
Zr 91.22 Zr.upf
Al 26.98 Al.upf
Sn 118.71 Sn.upf
CELL_PARAMETERS angstrom
11.8057 0.0000 0.0000
0.0000 4.1742 0.0000
0.0000 0.0000 10.7900
ATOMIC_POSITIONS crystal
Zr 0.0423 0.2500 0.1154
Zr 0.1275 0.7500 0.5668
Zr 0.2280 0.2500 0.7871
Zr 0.2720 0.7500 0.2871
Zr 0.3725 0.2500 0.0668
Zr 0.4577 0.7500 0.6154
Zr 0.5423 0.2500 0.3846
Zr 0.6275 0.7500 0.9332
Zr 0.7280 0.2500 0.7129
Zr 0.7720 0.7500 0.2129
Zr 0.8725 0.2500 0.4332
Zr 0.9577 0.7500 0.8846
Al 0.1240 0.2500 0.3756
Al 0.3760 0.7500 0.8756
Al 0.6240 0.2500 0.1244
Al 0.8760 0.7500 0.6244
Sn 0.0043 0.7500 0.3017
Sn 0.1873 0.7500 0.0081
Sn 0.3127 0.2500 0.5081
Sn 0.4957 0.2500 0.8017
Sn 0.5043 0.7500 0.1983
Sn 0.6873 0.7500 0.4919
Sn 0.8127 0.2500 0.9919
Sn 0.9957 0.2500 0.6983
```

Output
- DFT formation energy: -0.411 eV per atom
- Total magnetic moment: 0.00 μB/f.u.
- Symmetry: Pnma

---

# 5
The following is a PBE-GGA calculation of an optimized crystal structure of ZrAl2Sn, from Alexandria via LeMat-Bulk. Values from VASP.

Cell and atoms, written as Quantum ESPRESSO input:
```
&SYSTEM
  ibrav = 0, nat = 16, ntyp = 3
/
ATOMIC_SPECIES
Zr 91.22 Zr.upf
Al 26.98 Al.upf
Sn 118.71 Sn.upf
CELL_PARAMETERS angstrom
7.7920 0.0000 0.0000
0.0000 7.7920 0.0000
0.0000 0.0000 5.7748
ATOMIC_POSITIONS crystal
Zr 0.0000 0.0000 0.0000
Zr 0.0000 0.5000 0.2500
Zr 0.5000 0.0000 0.7500
Zr 0.5000 0.5000 0.5000
Al 0.2365 0.7500 0.6250
Al 0.2500 0.2365 0.3750
Al 0.2500 0.2635 0.8750
Al 0.2635 0.7500 0.1250
Al 0.7365 0.2500 0.1250
Al 0.7500 0.7365 0.8750
Al 0.7500 0.7635 0.3750
Al 0.7635 0.2500 0.6250
Sn 0.0000 0.0000 0.5000
Sn 0.0000 0.5000 0.7500
Sn 0.5000 0.0000 0.2500
Sn 0.5000 0.5000 0.0000
```

Output
- DFT formation energy: 0.100 eV per atom
- Total magnetic moment: 0.00 μB/f.u.
- Symmetry: I-42d

---

# 6
The following is a PBE-GGA calculation of an optimized crystal structure of Zr2Al2Sn, from Alexandria via LeMat-Bulk. Values from VASP.

Cell and atoms, written as Quantum ESPRESSO input:
```
&SYSTEM
  ibrav = 0, nat = 10, ntyp = 3
/
ATOMIC_SPECIES
Zr 91.22 Zr.upf
Al 26.98 Al.upf
Sn 118.71 Sn.upf
CELL_PARAMETERS angstrom
7.6237 0.0000 0.0000
0.0000 7.6237 0.0000
0.0000 0.0000 3.8000
ATOMIC_POSITIONS crystal
Zr 0.1696 0.3304 0.0000
Zr 0.3304 0.8304 0.0000
Zr 0.6696 0.1696 0.0000
Zr 0.8304 0.6696 0.0000
Al 0.1245 0.6245 0.5000
Al 0.3755 0.1245 0.5000
Al 0.6245 0.8755 0.5000
Al 0.8755 0.3755 0.5000
Sn 0.0000 0.0000 0.0000
Sn 0.5000 0.5000 0.0000
```

Output
- DFT formation energy: -0.178 eV per atom
- Offset from the most stable computed form: 173 meV/atom
- Total magnetic moment: 0.00 μB/f.u.
- Symmetry: P4/mbm

---

# 7
The following is a PBE-GGA calculation of an optimized crystal structure of SrAl, from Alexandria via LeMat-Bulk. Values from VASP.

Cell and atoms, written as Quantum ESPRESSO input:
```
&SYSTEM
  ibrav = 0, nat = 8, ntyp = 2
/
ATOMIC_SPECIES
Sr 87.62 Sr.upf
Al 26.98 Al.upf
CELL_PARAMETERS angstrom
7.5129 0.0000 0.0000
0.0000 8.9743 0.0000
0.0000 0.0000 3.5878
ATOMIC_POSITIONS crystal
Sr 0.0000 0.2082 0.0000
Sr 0.0000 0.7918 0.0000
Sr 0.5000 0.2918 0.0000
Sr 0.5000 0.7082 0.0000
Al 0.1806 0.5000 0.5000
Al 0.3194 0.0000 0.5000
Al 0.6806 0.0000 0.5000
Al 0.8194 0.5000 0.5000
```

Output
- DFT formation energy: -0.129 eV per atom
- Total magnetic moment: 0.00 μB/f.u.
- Symmetry: Cmmm

---

# 8
The following is a PBE-GGA calculation of an optimized crystal structure of SrAl3, from Alexandria via LeMat-Bulk. Values from VASP.

Cell and atoms, written as Quantum ESPRESSO input:
```
&SYSTEM
  ibrav = 0, nat = 4, ntyp = 2
/
ATOMIC_SPECIES
Sr 87.62 Sr.upf
Al 26.98 Al.upf
CELL_PARAMETERS angstrom
4.4761 0.0000 0.0000
0.0000 4.4761 0.0000
0.0000 0.0000 4.4761
ATOMIC_POSITIONS crystal
Sr 0.0000 0.0000 0.0000
Al 0.0000 0.5000 0.5000
Al 0.5000 0.0000 0.5000
Al 0.5000 0.5000 0.0000
```

Output
- DFT formation energy: 0.008 eV per atom
- Total magnetic moment: 0.00 μB/f.u.
- Symmetry: Pm-3m